Below is an optimized crystal structure of TcHgPb2, with properties calculated at the GGA-PBE level.

Cell: 7.5240 7.5240 7.5240 Å, 156.02 143.91 43.80°
Atoms (fractional coordinates):
Tc1 0.0000 0.0000 0.0000
Hg1 0.1799 0.6799 0.5000
Pb1 0.5024 0.5024 0.0000
Pb2 0.8150 0.3150 0.5000

Size of the total moment: 0.4 μB/f.u.
Energy of formation: 418 meV/atom
SG: Imm2, No. 44
Electronic total energy: -16.4 eV for the cell shown
ρ: 11.64 Mg/m³